1.
# LaTiPt2 | Alexandria via LeMat-Bulk | PBE-GGA | relaxed
data_LaTiPt2
_cell_length_a 5.049
_cell_length_b 5.049
_cell_length_c 8.882
_cell_angle_alpha 73.49
_cell_angle_beta 73.49
_cell_angle_gamma 90.00
_space_group_name_H-M_alt 'P 1'
_space_group_IT_number 1
loop_
_space_group_symop_operation_xyz
'x,y,z'
loop_
_atom_site_label
_atom_site_fract_x
_atom_site_fract_y
_atom_site_fract_z
Ti1 0.500 0.500 0.000
Ti2 0.250 0.750 0.500
Pt1 0.463 0.125 0.250
Pt2 0.287 0.625 0.250
Pt3 0.375 0.537 0.750
Pt4 0.875 0.713 0.750
La1 0.000 0.000 0.000
La2 0.750 0.250 0.500
# DOS at the Fermi energy = 9.39 states/eV/cell
# excess energy over the best structure of this formula in the dataset = 485 meV per atom

2.
# LaTlPt3 | Alexandria via LeMat-Bulk | PBE-GGA | relaxed
data_LaTlPt3
_cell_length_a 5.334
_cell_length_b 5.334
_cell_length_c 5.334
_cell_angle_alpha 90.00
_cell_angle_beta 90.00
_cell_angle_gamma 90.00
_space_group_name_H-M_alt 'P 1'
_space_group_IT_number 1
loop_
_space_group_symop_operation_xyz
'x,y,z'
loop_
_atom_site_label
_atom_site_fract_x
_atom_site_fract_y
_atom_site_fract_z
Tl1 0.500 0.500 0.500
Pt1 0.000 0.500 0.000
Pt2 0.000 0.000 0.500
Pt3 0.500 0.000 0.000
La1 0.000 0.000 0.000
# DOS at the Fermi energy = 8.10 states/eV/cell
# excess energy over the best structure of this formula in the dataset = 479 meV per atom

3.
# LaTlPt4 | Alexandria via LeMat-Bulk | PBE-GGA | relaxed
data_LaTlPt4
_cell_length_a 5.502
_cell_length_b 5.502
_cell_length_c 5.502
_cell_angle_alpha 60.00
_cell_angle_beta 60.00
_cell_angle_gamma 60.00
_space_group_name_H-M_alt 'P 1'
_space_group_IT_number 1
loop_
_space_group_symop_operation_xyz
'x,y,z'
loop_
_atom_site_label
_atom_site_fract_x
_atom_site_fract_y
_atom_site_fract_z
La1 0.000 0.000 0.000
Pt1 0.127 0.624 0.624
Pt2 0.624 0.624 0.624
Pt3 0.624 0.127 0.624
Pt4 0.624 0.624 0.127
Tl1 0.250 0.250 0.250
# electronic total energy = -6.023 eV per atom
# DOS at the Fermi energy = 2.09 states/eV/cell

4.
# LaTlPt3 | Alexandria via LeMat-Bulk | PBE-GGA | relaxed
data_LaTlPt3
_cell_length_a 5.064
_cell_length_b 5.064
_cell_length_c 5.064
_cell_angle_alpha 90.00
_cell_angle_beta 90.00
_cell_angle_gamma 90.00
_space_group_name_H-M_alt 'P 1'
_space_group_IT_number 1
loop_
_space_group_symop_operation_xyz
'x,y,z'
loop_
_atom_site_label
_atom_site_fract_x
_atom_site_fract_y
_atom_site_fract_z
Tl1 0.000 0.000 0.000
Pt1 0.000 0.500 0.000
Pt2 0.000 0.000 0.500
Pt3 0.500 0.000 0.000
La1 0.500 0.500 0.500
# DOS at the Fermi energy = 2.45 states/eV/cell
# excess energy over the best structure of this formula in the dataset = 0 meV per atom

5.
# La6TlPt | Alexandria via LeMat-Bulk | PBE-GGA | relaxed
data_La6TlPt
_cell_length_a 7.028
_cell_length_b 7.146
_cell_length_c 8.027
_cell_angle_alpha 64.79
_cell_angle_beta 65.11
_cell_angle_gamma 60.03
_space_group_name_H-M_alt 'P 1'
_space_group_IT_number 1
loop_
_space_group_symop_operation_xyz
'x,y,z'
loop_
_atom_site_label
_atom_site_fract_x
_atom_site_fract_y
_atom_site_fract_z
La1 0.033 0.423 0.744
La2 0.795 0.026 0.742
La3 0.573 0.200 0.257
La4 0.205 0.974 0.258
La5 0.967 0.577 0.256
La6 0.427 0.800 0.743
Tl1 0.500 0.500 0.500
Pt1 0.000 0.000 0.000
# electronic total energy = -4.939 eV per atom
# DOS at the Fermi energy = 13.48 states/eV/cell

6.
# La3TlPt | Alexandria via LeMat-Bulk | PBE-GGA | relaxed
data_La3TlPt
_cell_length_a 5.677
_cell_length_b 5.677
_cell_length_c 5.677
_cell_angle_alpha 90.00
_cell_angle_beta 90.00
_cell_angle_gamma 90.00
_space_group_name_H-M_alt 'P 1'
_space_group_IT_number 1
loop_
_space_group_symop_operation_xyz
'x,y,z'
loop_
_atom_site_label
_atom_site_fract_x
_atom_site_fract_y
_atom_site_fract_z
Tl1 0.500 0.500 0.500
Pt1 0.000 0.000 0.000
La1 0.000 0.500 0.000
La2 0.000 0.000 0.500
La3 0.500 0.000 0.000
# DOS at the Fermi energy = 10.25 states/eV/cell
# excess energy over the best structure of this formula in the dataset = 210 meV per atom

7.
# La6Tl2Pt | Alexandria via LeMat-Bulk | PBE-GGA | relaxed
data_La6Tl2Pt
_cell_length_a 3.985
_cell_length_b 9.127
_cell_length_c 9.127
_cell_angle_alpha 120.00
_cell_angle_beta 90.00
_cell_angle_gamma 90.00
_space_group_name_H-M_alt 'P 1'
_space_group_IT_number 1
loop_
_space_group_symop_operation_xyz
'x,y,z'
loop_
_atom_site_label
_atom_site_fract_x
_atom_site_fract_y
_atom_site_fract_z
La1 0.500 0.600 0.000
La2 0.500 0.400 0.400
La3 0.500 0.000 0.600
La4 0.000 0.244 0.000
La5 0.000 0.756 0.756
La6 0.000 0.000 0.244
Tl1 0.000 0.333 0.667
Tl2 0.000 0.667 0.333
Pt1 0.500 0.000 0.000
# electronic total energy = -4.973 eV per atom
# DOS at the Fermi energy = 12.20 states/eV/cell

8.
# LaTlPt | Alexandria via LeMat-Bulk | PBE-GGA | relaxed
data_LaTlPt
_cell_length_a 4.839
_cell_length_b 4.839
_cell_length_c 3.745
_cell_angle_alpha 90.00
_cell_angle_beta 90.00
_cell_angle_gamma 120.00
_space_group_name_H-M_alt 'P 1'
_space_group_IT_number 1
loop_
_space_group_symop_operation_xyz
'x,y,z'
loop_
_atom_site_label
_atom_site_fract_x
_atom_site_fract_y
_atom_site_fract_z
La1 0.000 0.000 0.000
Pt1 0.667 0.333 0.499
Tl1 0.333 0.667 0.500
# electronic total energy = -5.135 eV per atom
# DOS at the Fermi energy = 2.13 states/eV/cell

- Among the records above, which one has the highest DOS at the Fermi energy?
  La6TlPt